Below is a relaxed Rb3GaS3 crystal, with properties calculated at the GGA-PBE level.

```
Rb3GaS3
1.0
9.895 0.000 0.000
0.000 6.678 0.000
-4.925 0.000 8.583
Rb Ga S
6 2 6
Cartesian
-0.224 1.669 2.734
2.471 5.008 1.166
-0.200 5.008 5.853
5.170 1.669 2.729
2.499 1.669 7.417
5.194 5.008 5.849
-2.451 1.669 7.150
7.421 5.008 1.433
-0.560 5.008 2.542
2.472 1.669 0.780
-0.534 1.669 6.046
5.504 5.008 2.536
2.498 5.008 7.803
5.530 1.669 6.040
```

Values from the calculation:
As for the formation energy (no corrections): -1.00 eV/atom. As for the calculated volume: 40.51 Å³ per atom. Its energy above the most stable polymorph in this dataset is 114 meV per atom. For the total energy, the calculation gives -3.61 eV per atom.